Density functional theory data (PBE-GGA) for a relaxed AgSnAsO crystal.

The structure in POSCAR format:
```
AgSnAsO
1.0
-0.702 -3.455 -1.524
3.233 0.251 -2.058
5.016 -4.264 7.357
Ag As O Sn
2 2 2 2
Cartesian
2.508 -2.132 3.679 Ag
3.773 -3.734 1.887 Ag
1.183 -3.031 1.487 As
5.099 -2.835 4.079 As
0.000 0.000 0.000 O
1.266 -1.602 -1.791 O
2.222 -0.389 -0.141 Sn
4.059 -5.477 5.707 Sn
```

## Properties
The distance to the lowest polymorph of the same formula comes out at 0.00 kJ per mole of atoms. The value obtained for the volume is 72.8 Å³/f.u. The value obtained for the raw total energy is -0.1659 hartree per atom.

***

Density functional theory data (PBE-GGA) for a relaxed AgSnAsO crystal.

The structure in POSCAR format:
```
AgSnAsO
1.0
3.638 0.000 0.000
0.000 7.005 0.000
0.000 0.000 6.758
Ag As O Sn
2 2 2 2
Cartesian
1.819 2.508 0.271 Ag
1.819 4.497 3.650 Ag
0.000 5.785 2.411 As
0.000 1.220 5.790 As
1.819 2.268 2.656 O
1.819 4.736 6.035 O
0.000 1.327 3.137 Sn
0.000 5.678 6.516 Sn
```

## Properties
The distance to the lowest polymorph of the same formula comes out at 7.97 kJ per mole of atoms. The value obtained for the volume is 86.1 Å³/f.u. The value obtained for the raw total energy is -0.1628 hartree per atom.

***

Density functional theory data (PBE-GGA) for a relaxed SrAgAsO crystal.

The structure in POSCAR format:
```
SrAgAsO
1.0
-0.754 -2.235 -3.829
3.850 -2.256 0.559
-3.893 -5.640 4.058
Ag As O Sr
2 2 2 2
Cartesian
-1.947 -2.820 2.029 Ag
-0.398 -5.065 0.394 Ag
-1.652 -2.965 -0.585 As
-0.693 -4.920 3.008 As
0.000 0.000 0.000 O
1.548 -2.246 -1.635 O
1.471 -1.786 0.753 Sr
-3.816 -6.100 1.670 Sr
```

## Properties
The distance to the lowest polymorph of the same formula comes out at 7.41 kJ per mole of atoms. The value obtained for the volume is 80.5 Å³/f.u. The value obtained for the raw total energy is -0.1673 hartree per atom.

***

Density functional theory data (PBE-GGA) for a relaxed SrAgAsO crystal.

The structure in POSCAR format:
```
SrAgAsO
1.0
-3.455 -1.489 -2.955
-0.145 -4.200 2.285
-5.755 3.028 5.201
Ag As O Sr
2 2 2 2
Cartesian
-1.820 -0.696 -1.394 Ag
-5.735 0.879 6.260 Ag
-1.738 -1.224 2.648 As
-5.817 1.407 2.219 As
0.000 0.000 0.000 O
-1.800 -2.845 -0.335 O
-2.878 1.514 2.601 Sr
-4.677 -1.331 2.266 Sr
```

## Properties
The distance to the lowest polymorph of the same formula comes out at 122.15 kJ per mole of atoms. The value obtained for the volume is 95.3 Å³/f.u. The value obtained for the raw total energy is -0.1236 hartree per atom.

***

Density functional theory data (PBE-GGA) for a relaxed SrAgAsO crystal.

The structure in POSCAR format:
```
SrAgAsO
1.0
3.409 0.000 0.000
0.000 7.809 0.000
0.000 0.000 5.938
Ag As O Sr
2 2 2 2
Cartesian
0.000 1.689 0.430 Ag
0.000 6.120 3.399 Ag
1.704 7.695 2.105 As
1.704 0.114 5.074 As
0.000 3.555 1.620 O
0.000 4.255 4.590 O
1.704 4.820 0.322 Sr
1.704 2.989 3.291 Sr
```

## Properties
The distance to the lowest polymorph of the same formula comes out at 0.00 kJ per mole of atoms. The value obtained for the volume is 79.0 Å³/f.u. The value obtained for the raw total energy is -0.1701 hartree per atom.

***

Density functional theory data (PBE-GGA) for a relaxed SrAgAsO crystal.

The structure in POSCAR format:
```
SrAgAsO
1.0
-0.481 -1.393 -4.255
-0.466 -7.067 2.366
-4.906 0.459 0.404
Ag As O Sr
2 2 2 2
Cartesian
-0.303 -4.599 1.540 Ag
-2.616 -2.239 1.028 Ag
-1.245 0.116 0.103 As
-3.698 0.346 0.305 As
-0.532 -5.102 -0.652 O
-2.870 -3.128 -1.034 O
-3.018 -5.403 -0.273 Sr
-5.286 -2.368 -1.010 Sr
```

## Properties
The distance to the lowest polymorph of the same formula comes out at 16.67 kJ per mole of atoms. The value obtained for the volume is 83.1 Å³/f.u. The value obtained for the raw total energy is -0.1637 hartree per atom.

***

Density functional theory data (PBE-GGA) for a relaxed TaAgAsO crystal.

The structure in POSCAR format:
```
TaAgAsO
1.0
3.929 0.000 0.000
0.000 6.777 0.000
0.000 0.000 5.238
Ag As O Ta
2 2 2 2
Cartesian
0.000 3.144 0.163 Ag
0.000 3.633 2.783 Ag
1.964 5.170 2.107 As
1.964 1.607 4.726 As
0.000 1.072 2.170 O
0.000 5.705 4.790 O
1.964 0.964 2.128 Ta
1.964 5.813 4.748 Ta
```

## Properties
The distance to the lowest polymorph of the same formula comes out at 5.40 kJ per mole of atoms. The value obtained for the volume is 69.7 Å³/f.u. The value obtained for the raw total energy is -0.2513 hartree per atom.

***

Density functional theory data (PBE-GGA) for a relaxed TaAgAsO crystal.

The structure in POSCAR format:
```
TaAgAsO
1.0
-1.739 -3.081 0.859
0.931 -1.423 -3.219
7.744 -3.336 3.714
Ag As O Ta
2 2 2 2
Cartesian
3.872 -1.668 1.857 Ag
3.468 -3.920 0.677 Ag
1.186 -2.426 1.415 As
6.154 -3.162 1.119 As
0.000 0.000 0.000 O
-0.404 -2.252 -1.180 O
1.471 -1.145 -1.127 Ta
5.869 -4.444 3.662 Ta
```

## Properties
The distance to the lowest polymorph of the same formula comes out at 12.66 kJ per mole of atoms. The value obtained for the volume is 61.1 Å³/f.u. The value obtained for the raw total energy is -0.2486 hartree per atom.

***

Density functional theory data (PBE-GGA) for a relaxed TaAgAsO crystal.

The structure in POSCAR format:
```
TaAgAsO
1.0
3.369 0.000 0.000
0.000 6.907 0.000
0.000 0.000 6.113
Ag As O Ta
2 2 2 2
Cartesian
0.000 6.582 0.163 Ag
0.000 0.325 3.220 Ag
0.000 4.929 2.149 As
0.000 1.978 5.206 As
1.685 2.259 1.828 O
1.685 4.648 4.885 O
1.685 3.715 0.469 Ta
1.685 3.192 3.525 Ta
```

## Properties
The distance to the lowest polymorph of the same formula comes out at 0.00 kJ per mole of atoms. The value obtained for the volume is 71.1 Å³/f.u. The value obtained for the raw total energy is -0.2534 hartree per atom.

***

Density functional theory data (PBE-GGA) for a relaxed TaAgAsO crystal.

The structure in POSCAR format:
```
TaAgAsO
1.0
-3.742 1.885 -0.814
-1.191 -3.371 -2.331
-3.049 -3.311 6.346
Ag As O Ta
2 2 2 2
Cartesian
-0.797 -1.905 -0.745 Ag
-4.718 -2.149 5.518 Ag
-2.823 -0.091 1.574 As
-2.692 -3.963 3.200 As
0.000 0.000 0.000 O
-2.466 -0.743 -1.573 O
-1.524 -1.655 3.173 Ta
-3.991 -2.399 1.600 Ta
```

## Properties
The distance to the lowest polymorph of the same formula comes out at 88.58 kJ per mole of atoms. The value obtained for the volume is 70.9 Å³/f.u. The value obtained for the raw total energy is -0.2197 hartree per atom.

***

Density functional theory data (PBE-GGA) for a relaxed TcAgAsO crystal.

The structure in POSCAR format:
```
TcAgAsO
1.0
3.028 0.000 0.000
0.000 7.192 0.000
0.000 0.000 5.770
Ag As O Tc
2 2 2 2
Cartesian
0.000 0.383 2.160 Ag
0.000 6.810 5.045 Ag
0.000 5.063 2.172 As
0.000 2.129 5.057 As
1.514 2.184 2.173 O
1.514 5.008 5.058 O
1.514 3.596 0.731 Tc
1.514 3.596 3.616 Tc
```

## Properties
The distance to the lowest polymorph of the same formula comes out at 0.00 kJ per mole of atoms. The value obtained for the volume is 62.8 Å³/f.u. The value obtained for the raw total energy is -0.2224 hartree per atom.

***

Density functional theory data (PBE-GGA) for a relaxed TcAgAsO crystal.

The structure in POSCAR format:
```
TcAgAsO
1.0
-0.947 1.156 3.254
3.236 -0.881 1.255
3.113 8.451 -2.095
Ag As O Tc
2 2 2 2
Cartesian
1.556 4.226 -1.048 Ag
2.701 4.363 1.207 Ag
0.334 2.770 1.084 As
3.923 5.819 -0.924 As
0.000 0.000 0.000 O
1.145 0.137 2.255 O
2.020 0.649 0.357 Tc
2.238 7.939 -0.198 Tc
```

## Properties
The distance to the lowest polymorph of the same formula comes out at 37.31 kJ per mole of atoms. The value obtained for the volume is 59.3 Å³/f.u. The value obtained for the raw total energy is -0.2082 hartree per atom.

***

Density functional theory data (PBE-GGA) for a relaxed TcAgAsO crystal.

The structure in POSCAR format:
```
TcAgAsO
1.0
-3.038 2.110 -1.813
-0.395 -2.985 -2.812
-5.143 -3.547 4.489
Ag As O Tc
2 2 2 2
Cartesian
-0.663 -1.813 -1.000 Ag
-6.197 -2.171 3.176 Ag
-3.182 -0.092 0.545 As
-3.678 -3.893 1.632 As
0.000 0.000 0.000 O
-1.717 -0.437 -2.313 O
-2.571 -1.774 2.244 Tc
-4.288 -2.211 -0.068 Tc
```

## Properties
The distance to the lowest polymorph of the same formula comes out at 53.87 kJ per mole of atoms. The value obtained for the volume is 65.3 Å³/f.u. The value obtained for the raw total energy is -0.2019 hartree per atom.

***

Density functional theory data (PBE-GGA) for a relaxed TcAgAsO crystal.

The structure in POSCAR format:
```
TcAgAsO
1.0
-2.840 2.207 -0.613
-2.824 -4.640 -3.626
-2.818 -2.226 5.044
Ag As O Tc
2 2 2 2
Cartesian
-3.932 -2.961 -3.303 Ag
-3.290 -0.703 1.853 Ag
-1.992 -2.441 0.438 As
-4.191 -4.852 1.946 As
-4.804 -3.461 -1.064 O
-4.603 -1.929 3.525 O
-3.318 -4.327 -0.209 Tc
-3.552 -3.509 3.822 Tc
```

## Properties
The distance to the lowest polymorph of the same formula comes out at 22.00 kJ per mole of atoms. The value obtained for the volume is 73.8 Å³/f.u. The value obtained for the raw total energy is -0.2140 hartree per atom.

***

Density functional theory data (PBE-GGA) for a relaxed AgTeAsO crystal.

The structure in POSCAR format:
```
AgTeAsO
1.0
-1.410 -3.073 1.511
-0.536 -2.706 -6.002
6.493 -2.673 0.625
Ag As O Te
2 2 2 2
Cartesian
-0.043 -0.857 -1.782 Ag
2.988 -3.282 -3.884 Ag
2.276 -1.912 -1.764 As
5.343 -4.151 -3.453 As
0.862 -4.467 -3.740 O
4.410 -4.283 -0.055 O
-0.844 -4.093 -4.572 Te
2.824 -3.302 0.459 Te
```

## Properties
The distance to the lowest polymorph of the same formula comes out at 25.04 kJ per mole of atoms. The value obtained for the volume is 86.2 Å³/f.u. The value obtained for the raw total energy is -0.1482 hartree per atom.

***

Density functional theory data (PBE-GGA) for a relaxed AgTeAsO crystal.

The structure in POSCAR format:
```
AgTeAsO
1.0
-3.650 -1.081 -0.565
-0.461 -0.428 3.796
-2.779 9.025 0.679
Ag As O Te
2 2 2 2
Cartesian
-4.242 3.595 0.865 Ag
-2.648 3.922 3.046 Ag
-3.871 1.426 2.616 As
-3.019 6.090 1.295 As
-2.853 -0.918 0.525 O
-1.258 -0.591 2.706 O
-1.415 0.882 0.903 Te
-5.474 6.635 3.008 Te
```

## Properties
The distance to the lowest polymorph of the same formula comes out at 37.68 kJ per mole of atoms. The value obtained for the volume is 70.1 Å³/f.u. The value obtained for the raw total energy is -0.1433 hartree per atom.

***

Density functional theory data (PBE-GGA) for a relaxed AgTeAsO crystal.

The structure in POSCAR format:
```
AgTeAsO
1.0
6.217 0.000 0.000
-1.285 7.052 0.000
0.000 0.000 7.829
Ag As O Te
4 4 4 4
Cartesian
3.018 0.002 1.611 Ag
6.126 0.002 2.303 Ag
-1.194 7.049 5.526 Ag
1.915 7.049 6.218 Ag
3.649 3.656 0.752 As
0.540 3.656 3.163 As
4.393 3.395 4.667 As
1.284 3.395 7.077 As
1.936 2.837 0.886 O
5.045 2.837 3.029 O
-0.112 4.215 4.801 O
2.996 4.215 6.943 O
5.037 1.405 0.003 Te
1.929 1.405 3.912 Te
3.004 5.647 3.917 Te
-0.104 5.647 7.826 Te
```

## Properties
The distance to the lowest polymorph of the same formula comes out at 0.00 kJ per mole of atoms. The value obtained for the volume is 85.8 Å³/f.u. The value obtained for the raw total energy is -0.1577 hartree per atom.

***

Density functional theory data (PBE-GGA) for a relaxed AgTeAsO crystal.

The structure in POSCAR format:
```
AgTeAsO
1.0
3.778 0.000 0.000
0.000 6.728 0.000
0.000 0.000 7.103
Ag As O Te
2 2 2 2
Cartesian
0.000 1.651 1.015 Ag
0.000 5.077 4.567 Ag
1.889 5.394 0.072 As
1.889 1.334 3.624 As
1.889 0.291 0.695 O
1.889 6.437 4.247 O
0.000 4.276 1.705 Te
0.000 2.452 5.257 Te
```

## Properties
The distance to the lowest polymorph of the same formula comes out at 7.85 kJ per mole of atoms. The value obtained for the volume is 90.3 Å³/f.u. The value obtained for the raw total energy is -0.1547 hartree per atom.

***

Density functional theory data (PBE-GGA) for a relaxed AgTeAsO crystal.

The structure in POSCAR format:
```
AgTeAsO
1.0
-1.001 4.054 1.293
-1.693 -2.182 5.528
5.669 0.751 2.033
Ag As O Te
2 2 2 2
Cartesian
-0.461 -0.712 1.875 Ag
1.807 -1.067 4.742 Ag
0.262 0.534 5.918 As
4.162 2.283 3.455 As
1.860 -0.324 2.456 O
3.989 -0.858 5.776 O
1.605 1.838 2.870 Te
3.557 1.076 6.768 Te
```

## Properties
The distance to the lowest polymorph of the same formula comes out at 29.82 kJ per mole of atoms. The value obtained for the volume is 82.0 Å³/f.u. The value obtained for the raw total energy is -0.1463 hartree per atom.

***

Density functional theory data (PBE-GGA) for a relaxed AgTeAsO crystal.

The structure in POSCAR format:
```
AgTeAsO
1.0
-1.971 2.932 -1.591
-1.630 0.766 3.431
7.333 6.084 2.126
Ag As O Te
2 2 2 2
Cartesian
1.780 5.433 0.727 Ag
1.951 4.350 3.239 Ag
-0.111 1.579 0.689 As
3.842 8.203 3.277 As
-1.886 2.391 -0.336 O
-1.716 1.308 2.175 O
-0.674 4.456 1.968 Te
4.404 5.326 1.998 Te
```

## Properties
The distance to the lowest polymorph of the same formula comes out at 19.34 kJ per mole of atoms. The value obtained for the volume is 73.3 Å³/f.u. The value obtained for the raw total energy is -0.1503 hartree per atom.